First-principles (PBE with a Hubbard U) data for an optimized crystal structure of Rb2CrPbO4, as listed in Alexandria.

CIF file:
```
data_Rb2CrPbO4
_chemical_formula_sum 'Rb4 Cr2 Pb2 O8'
_cell_length_a 6.308
_cell_length_b 6.308
_cell_length_c 8.437
_cell_angle_alpha 90.00
_cell_angle_beta 90.00
_cell_angle_gamma 90.00
_space_group_name_H-M_alt 'I -4'
_space_group_IT_number 82
loop_
_space_group_symop_operation_xyz
'x,y,z'
'y,-x,-z'
'-x,-y,z'
'-y,x,-z'
'x+1/2,y+1/2,z+1/2'
'y+1/2,-x+1/2,-z+1/2'
'-x+1/2,-y+1/2,z+1/2'
'-y+1/2,x+1/2,-z+1/2'
loop_
_atom_site_label
_atom_site_type_symbol
_atom_site_fract_x
_atom_site_fract_y
_atom_site_fract_z
_atom_site_occupancy
Rb1 Rb 0.000 0.000 0.000 1
Rb2 Rb 0.000 0.500 0.250 1
Cr1 Cr 0.000 0.500 0.750 1
Pb1 Pb 0.000 0.000 0.500 1
O1 O 0.141 0.303 0.633 1
```

uncorrected energy	-5.560	eV per atom
total moment	2.00	μB/f.u.